(1)
Compound: Li2AcPm2Pb2
Source: Alexandria via LeMat-Bulk
Functional: PBE
Structure: relaxed

Properties
VASP energy: -27.35 eV for the cell shown
symmetry: R-3m
energy of formation from the pure elements: -0.36 eV per atom
density: 7.68 Mg/m³

abc: 4.955 4.955 10.030
angles: 75.70 75.70 60.00
Atoms (fractional coordinates):
Pm1 0.132 0.132 0.604
Pm2 0.868 0.868 0.396
Pb1 0.742 0.742 0.775
Pb2 0.258 0.258 0.225
Li1 0.583 0.583 0.250
Li2 0.417 0.417 0.750
Ac1 0.000 0.000 0.000

(2)
Compound: HgS3Br
Source: Alexandria via LeMat-Bulk
Functional: PBE
Structure: relaxed

Properties
energy relative to the elements, uncorrected: 1025.8 meV per atom
VASP energy: -9.23 eV for the cell shown
symmetry: Pm-3m
density: 5.23 Mg/m³
offset from the most stable computed form: 100.74 kJ/mol of atoms

abc: 4.927 4.927 4.927
angles: 90.00 90.00 90.00
Atoms (fractional coordinates):
S1 0.000 0.000 0.500
S2 0.000 0.500 0.000
S3 0.500 0.000 0.000
Br1 0.000 0.000 0.000
Hg1 0.500 0.500 0.500

(3)
Compound: Pm2Mg5Cd12
Source: Alexandria via LeMat-Bulk
Functional: PBE
Structure: relaxed

Properties
VASP energy: -32.02 eV for the cell shown
symmetry: R-3m
energy of formation from the pure elements: -0.19 eV per atom
density: 6.73 Mg/m³

abc: 7.643 7.643 7.643
angles: 81.94 81.94 81.94
Atoms (fractional coordinates):
Cd1 0.358 0.358 0.847
Cd2 0.642 0.642 0.153
Cd3 0.705 0.295 0.000
Cd4 0.000 0.705 0.295
Cd5 0.295 0.000 0.705
Cd6 0.295 0.705 0.000
Cd7 0.358 0.847 0.358
Cd8 0.705 0.000 0.295
Cd9 0.000 0.295 0.705
Cd10 0.847 0.358 0.358
Cd11 0.642 0.153 0.642
Cd12 0.153 0.642 0.642
Mg1 0.000 0.000 0.500
Mg2 0.899 0.899 0.899
Mg3 0.500 0.000 0.000
Mg4 0.000 0.500 0.000
Mg5 0.101 0.101 0.101
Pm1 0.333 0.333 0.333
Pm2 0.667 0.667 0.667

(4)
Compound: Tm3ZrPd12
Source: Alexandria via LeMat-Bulk
Functional: PBE
Structure: relaxed

Properties
VASP energy: -98.66 eV for the cell shown
symmetry: P4/mmm
energy of formation from the pure elements: -0.90 eV per atom
density: 11.47 Mg/m³

abc: 4.082 4.082 16.289
angles: 90.00 90.00 90.00
Atoms (fractional coordinates):
Zr1 0.000 0.000 0.000
Pd1 0.500 0.500 0.000
Pd2 0.500 0.000 0.626
Pd3 0.000 0.500 0.374
Pd4 0.500 0.500 0.753
Pd5 0.000 0.500 0.880
Pd6 0.500 0.000 0.880
Pd7 0.500 0.500 0.247
Pd8 0.500 0.000 0.374
Pd9 0.000 0.500 0.120
Pd10 0.500 0.000 0.120
Pd11 0.500 0.500 0.500
Pd12 0.000 0.500 0.626
Tm1 0.000 0.000 0.500
Tm2 0.000 0.000 0.249
Tm3 0.000 0.000 0.751

(5)
Compound: Y2TlP2N6
Source: Alexandria via LeMat-Bulk
Functional: PBE
Structure: relaxed

Properties
energy relative to the elements, uncorrected: -573.9 meV per atom
VASP energy: -82.38 eV for the cell shown
symmetry: C2/m
density: 4.48 Mg/m³

abc: 6.303 6.456 6.438
angles: 116.80 89.96 60.83
Site moments in Bohr magnetons follow the coordinates.
Atoms (fractional coordinates):
Y1 0.825 0.351 0.803  0.00
Y2 0.175 0.649 0.197  0.00
N1 0.407 0.603 0.836  0.06
N2 0.068 0.865 0.629  0.04
N3 0.932 0.135 0.371  0.04
N4 0.008 0.398 0.165  0.06
N5 0.593 0.397 0.164  0.06
N6 0.992 0.602 0.835  0.06
P1 0.155 0.690 0.755  -0.01
P2 0.845 0.310 0.245  -0.01
Tl1 0.500 0.000 0.500  0.00

(6)
Compound: ZnCo2Os
Source: Alexandria via LeMat-Bulk
Functional: PBE
Structure: relaxed

Properties
VASP energy: -26.30 eV for the cell shown
symmetry: R-3m
energy of formation from the pure elements: 0.10 eV per atom
density: 12.30 Mg/m³

abc: 8.453 8.453 8.453
angles: 18.01 18.01 18.01
Site moments in Bohr magnetons follow the coordinates.
Atoms (fractional coordinates):
Co1 0.999 0.999 0.999  1.25
Co2 0.501 0.501 0.501  1.25
Os1 0.250 0.250 0.250  0.10
Zn1 0.750 0.750 0.750  -0.02

(7)
Compound: TmAl4Ag6
Source: Alexandria via LeMat-Bulk
Functional: PBE
Structure: relaxed

Properties
VASP energy: -38.08 eV for the cell shown
symmetry: P-6m2
energy of formation from the pure elements: -0.14 eV per atom
density: 7.54 Mg/m³
offset from the most stable computed form: 0.00 kJ/mol of atoms

abc: 4.263 7.426 7.426
angles: 120.00 90.00 90.00
Atoms (fractional coordinates):
Ag1 0.500 0.201 0.401
Ag2 0.000 0.536 0.464
Ag3 0.500 0.599 0.799
Ag4 0.000 0.536 0.071
Ag5 0.000 0.929 0.464
Ag6 0.500 0.201 0.799
Tm1 0.000 0.000 0.000
Al1 0.500 0.802 0.604
Al2 0.000 0.333 0.667
Al3 0.500 0.396 0.198
Al4 0.500 0.802 0.198

(8)
Compound: Be2Ir3
Source: Alexandria via LeMat-Bulk
Functional: PBE
Structure: relaxed

Properties
VASP energy: -34.88 eV for the cell shown
symmetry: P-3m1
energy of formation from the pure elements: -0.17 eV per atom
density: 15.82 Mg/m³

abc: 3.860 3.860 4.838
angles: 90.00 90.00 120.00
Atoms (fractional coordinates):
Ir1 0.000 0.000 0.000
Ir2 0.667 0.333 0.657
Ir3 0.333 0.667 0.343
Be1 0.333 0.667 0.833
Be2 0.667 0.333 0.167

(9)
Compound: CaZnSiSF
Source: Alexandria via LeMat-Bulk
Functional: PBE
Structure: relaxed

Properties
energy relative to the elements, uncorrected: -1233.7 meV per atom
VASP energy: -20.87 eV for the cell shown
symmetry: P1
density: 2.88 Mg/m³
offset from the most stable computed form: 16.65 kJ/mol of atoms

abc: 4.375 4.562 5.652
angles: 73.20 86.07 81.00
Atoms (fractional coordinates):
Zn1 0.274 0.633 0.648
Ca1 0.766 0.498 0.190
Si1 0.747 0.854 0.624
S1 0.615 0.163 0.853
F1 0.255 0.507 0.281

(10)
Compound: LiHo2MgPd4
Source: Alexandria via LeMat-Bulk
Functional: PBE
Structure: relaxed

Properties
VASP energy: -39.54 eV for the cell shown
symmetry: R-3m
energy of formation from the pure elements: -0.76 eV per atom
density: 8.77 Mg/m³

abc: 4.729 4.729 8.165
angles: 73.17 73.17 60.00
Atoms (fractional coordinates):
Pd1 0.374 0.374 0.877
Pd2 0.876 0.876 0.372
Pd3 0.124 0.124 0.628
Pd4 0.626 0.626 0.123
Ho1 0.752 0.752 0.744
Ho2 0.248 0.248 0.256
Mg1 0.000 0.000 0.000
Li1 0.500 0.500 0.500

(11)
Compound: PuH2Rh
Source: Alexandria via LeMat-Bulk
Functional: PBE
Structure: relaxed

Properties
VASP energy: -29.47 eV for the cell shown
symmetry: R-3m
density: 11.13 Mg/m³
offset from the most stable computed form: 9.90 kJ/mol of atoms

abc: 4.084 4.084 4.306
angles: 61.69 61.69 60.00
Site moments in Bohr magnetons follow the coordinates.
Atoms (fractional coordinates):
H1 0.157 0.157 0.530  -0.02
H2 0.843 0.843 0.470  -0.02
Pu1 0.500 0.500 0.500  5.00
Rh1 0.000 0.000 0.000  -0.26

(12)
Compound: LiNiRh2
Source: Alexandria via LeMat-Bulk
Functional: PBE
Structure: relaxed

Properties
VASP energy: -22.30 eV for the cell shown
symmetry: Pm
energy of formation from the pure elements: 0.02 eV per atom
density: 8.70 Mg/m³
offset from the most stable computed form: 8.40 kJ/mol of atoms

abc: 4.763 5.186 2.610
angles: 73.74 56.80 81.17
Site moments in Bohr magnetons follow the coordinates.
Atoms (fractional coordinates):
Rh1 0.948 0.220 0.999  0.50
Rh2 0.948 0.705 0.295  0.50
Ni1 0.448 0.966 0.145  0.83
Li1 0.448 0.467 0.621  -0.01

(13)
Compound: ZrAu3Se
Source: Alexandria via LeMat-Bulk
Functional: PBE
Structure: relaxed

Properties
energy relative to the elements, uncorrected: 894.1 meV per atom
VASP energy: -17.39 eV for the cell shown
symmetry: Pm-3m
density: 8.76 Mg/m³
offset from the most stable computed form: 28.48 kJ/mol of atoms

abc: 5.245 5.245 5.245
angles: 90.00 90.00 90.00
Site moments in Bohr magnetons follow the coordinates.
Atoms (fractional coordinates):
Zr1 0.000 0.000 0.000  0.10
Au1 0.000 0.500 0.000  0.02
Au2 0.000 0.000 0.500  0.00
Au3 0.500 0.000 0.000  0.03
Se1 0.500 0.500 0.500  0.12

(14)
Compound: Ho6SnTe5
Source: Alexandria via LeMat-Bulk
Functional: PBE
Structure: relaxed

Properties
energy relative to the elements, uncorrected: -1204.1 meV per atom
VASP energy: -61.63 eV for the cell shown
symmetry: C2/m
density: 8.29 Mg/m³

abc: 7.555 7.533 7.523
angles: 59.96 80.48 70.70
Atoms (fractional coordinates):
Te1 0.500 0.171 0.659
Te2 0.500 0.500 0.000
Te3 0.000 0.335 0.331
Te4 0.500 0.829 0.341
Te5 0.000 0.665 0.669
Sn1 0.000 0.000 0.000
Ho1 0.246 0.240 0.000
Ho2 0.758 0.079 0.325
Ho3 0.242 0.596 0.325
Ho4 0.758 0.404 0.675
Ho5 0.242 0.921 0.675
Ho6 0.754 0.760 0.000

(15)
Compound: Li5LaCd7
Source: Alexandria via LeMat-Bulk
Functional: PBE
Structure: relaxed

Properties
VASP energy: -24.01 eV for the cell shown
symmetry: Imm2
energy of formation from the pure elements: -0.24 eV per atom
density: 5.91 Mg/m³

abc: 5.301 7.610 7.610
angles: 83.08 69.62 69.62
Atoms (fractional coordinates):
Li1 0.002 0.001 0.500
Li2 0.726 0.774 0.774
Li3 0.498 0.001 0.500
Li4 0.498 0.500 0.001
Li5 0.002 0.500 0.001
Cd1 0.344 0.656 0.656
Cd2 0.284 0.216 0.216
Cd3 0.505 0.786 0.203
Cd4 0.647 0.353 0.353
Cd5 0.995 0.356 0.653
Cd6 0.505 0.203 0.786
Cd7 0.995 0.653 0.356
La1 0.998 0.002 0.002

(16)
Compound: HfCoPPt2
Source: Alexandria via LeMat-Bulk
Functional: PBE
Structure: relaxed

Properties
VASP energy: -35.39 eV for the cell shown
symmetry: P4/mmm
energy of formation from the pure elements: -0.17 eV per atom
density: 12.90 Mg/m³

abc: 4.555 4.086 4.555
angles: 90.00 90.00 90.00
Atoms (fractional coordinates):
Co1 0.000 0.500 0.000
Hf1 0.500 0.500 0.500
P1 0.000 0.000 0.000
Pt1 0.500 0.000 0.000
Pt2 0.000 0.000 0.500

(17)
Compound: LiAl2W
Source: Alexandria via LeMat-Bulk
Functional: PBE
Structure: relaxed

Properties
VASP energy: -21.42 eV for the cell shown
symmetry: Pmmm
energy of formation from the pure elements: 0.23 eV per atom
density: 6.74 Mg/m³
offset from the most stable computed form: 30.58 kJ/mol of atoms

abc: 2.865 4.716 4.463
angles: 90.00 90.00 90.00
Atoms (fractional coordinates):
Li1 0.500 0.000 0.500
W1 0.000 0.500 0.500
Al1 0.500 0.500 0.000
Al2 0.000 0.000 0.000

(18)
Compound: Ac2CeGe3
Source: Alexandria via LeMat-Bulk
Functional: PBE
Structure: relaxed

Properties
VASP energy: -62.64 eV for the cell shown
symmetry: C2/c
energy of formation from the pure elements: -0.55 eV per atom
density: 7.10 Mg/m³

abc: 6.315 9.078 7.683
angles: 107.17 114.27 90.00
Atoms (fractional coordinates):
Ge1 0.852 0.428 0.710
Ge2 0.495 0.750 0.000
Ge3 0.858 0.928 0.710
Ge4 0.148 0.572 0.290
Ge5 0.142 0.072 0.290
Ge6 0.505 0.250 0.000
Ac1 0.325 0.414 0.655
Ac2 0.675 0.586 0.345
Ac3 0.670 0.086 0.345
Ac4 0.330 0.914 0.655
Ce1 0.998 0.750 0.000
Ce2 0.002 0.250 0.000

(19)
Compound: LiBeNi2
Source: Alexandria via LeMat-Bulk
Functional: PBE
Structure: relaxed

Properties
VASP energy: -17.51 eV for the cell shown
symmetry: P2/m
energy of formation from the pure elements: -0.08 eV per atom
density: 5.46 Mg/m³

abc: 2.482 4.332 4.791
angles: 51.95 90.00 90.00
Atoms (fractional coordinates):
Li1 0.000 0.000 0.500
Ni1 0.500 0.500 0.000
Ni2 0.000 0.000 0.000
Be1 0.500 0.500 0.500

(20)
Compound: Pm2Y3Ge4
Source: Alexandria via LeMat-Bulk
Functional: PBE
Structure: relaxed

Properties
VASP energy: -110.78 eV for the cell shown
symmetry: P2_1/c
energy of formation from the pure elements: -0.89 eV per atom
density: 6.25 Mg/m³

abc: 7.676 8.002 7.880
angles: 90.00 90.00 111.49
Atoms (fractional coordinates):
Ge1 0.629 0.508 0.630
Ge2 0.831 0.087 0.538
Ge3 0.669 0.913 0.038
Ge4 0.129 0.508 0.870
Ge5 0.871 0.492 0.130
Ge6 0.331 0.087 0.962
Ge7 0.169 0.913 0.462
Ge8 0.371 0.492 0.370
Y1 0.000 0.500 0.500
Y2 0.232 0.239 0.664
Y3 0.732 0.239 0.836
Y4 0.500 0.500 0.000
Y5 0.768 0.761 0.336
Y6 0.268 0.761 0.164
Pm1 0.565 0.197 0.319
Pm2 0.065 0.197 0.181
Pm3 0.935 0.803 0.819
Pm4 0.435 0.803 0.681

(21)
Compound: YPaMnS6
Source: Alexandria via LeMat-Bulk
Functional: PBE
Structure: relaxed

Properties
energy relative to the elements, uncorrected: -1152.7 meV per atom
VASP energy: -60.27 eV for the cell shown
symmetry: P312
density: 4.56 Mg/m³

abc: 5.879 6.371 6.371
angles: 120.00 90.00 90.00
Site moments in Bohr magnetons follow the coordinates.
Atoms (fractional coordinates):
S1 0.740 0.015 0.307  -0.01
S2 0.740 0.293 0.985  -0.01
S3 0.260 0.293 0.307  -0.01
S4 0.740 0.693 0.707  -0.01
S5 0.260 0.015 0.707  -0.01
S6 0.260 0.693 0.985  -0.01
Y1 0.500 0.667 0.333  0.01
Pa1 0.000 0.333 0.667  0.10
Mn1 0.500 0.000 0.000  2.82

(22)
Compound: BaTbMg2
Source: Alexandria via LeMat-Bulk
Functional: PBE
Structure: relaxed

Properties
VASP energy: -9.56 eV for the cell shown
symmetry: Fm-3m
energy of formation from the pure elements: 0.05 eV per atom
density: 4.29 Mg/m³
offset from the most stable computed form: 7.39 kJ/mol of atoms

abc: 5.736 5.736 5.736
angles: 60.00 60.00 60.00
Atoms (fractional coordinates):
Tb1 0.000 0.000 0.000
Mg1 0.750 0.750 0.750
Mg2 0.250 0.250 0.250
Ba1 0.500 0.500 0.500

(23)
Compound: EuThGaRh
Source: Alexandria via LeMat-Bulk
Functional: PBE
Structure: relaxed

Properties
VASP energy: -29.86 eV for the cell shown
symmetry: F-43m
energy of formation from the pure elements: -0.45 eV per atom
density: 9.73 Mg/m³

abc: 5.122 5.122 5.122
angles: 60.00 60.00 60.00
Site moments in Bohr magnetons follow the coordinates.
Atoms (fractional coordinates):
Th1 0.500 0.500 0.500  0.02
Ga1 0.250 0.250 0.250  -0.02
Rh1 0.750 0.750 0.750  -0.08
Eu1 0.000 0.000 0.000  6.75

(24)
Compound: SrMo2Pt
Source: Alexandria via LeMat-Bulk
Functional: PBE
Structure: relaxed

Properties
VASP energy: -28.54 eV for the cell shown
symmetry: P4mm
energy of formation from the pure elements: 0.21 eV per atom
density: 9.59 Mg/m³
offset from the most stable computed form: 0.00 kJ/mol of atoms

abc: 3.275 3.275 7.662
angles: 90.00 90.00 90.00
Atoms (fractional coordinates):
Mo1 0.000 0.000 0.077
Mo2 0.500 0.500 0.235
Sr1 0.500 0.500 0.737
Pt1 0.000 0.000 0.452